*P*
Ca2PtW | PBE | optimized geometry

Calculated values
DOS(E_F) = 4.60 states/eV/f.u.

Cell lengths 6.2574, 9.1831, 2.8956 Å; angles 90.00, 90.00, 90.00 degrees
With the nearest neighbours (Å) after each atom.
Space group Cmmm (No. 65)
One atom of each set of equivalent atoms:
Ca (0.2500, 0.2500, 0.0000) [4 per cell]  4 Ca 2.90-3.13, 4 W 3.13, 4 Pt 3.13
Pt (0.0000, 0.0000, 0.5000) [2 per cell]  2 Pt 2.90, 2 W 3.13, 8 Ca 3.13
W (0.0000, 0.5000, 0.5000) [2 per cell]  2 W 2.90, 2 Pt 3.13, 8 Ca 3.13


*Q*
Ca2PtW | PBE | optimized geometry

Calculated values
DOS(E_F) = 4.07 states/eV/f.u.

Cell lengths 4.1992, 4.2455, 4.6819 Å; angles 90.00, 90.00, 90.00 degrees
With the nearest neighbours (Å) after each atom.
Space group Pmmm (No. 47)
One atom of each set of equivalent atoms:
Ca (0.0000, 0.0000, 0.0000) [1 per cell]  4 Ca 2.99, 4 W 3.14, 4 Pt 3.16
Ca (0.5000, 0.5000, 0.0000) [1 per cell]  4 Ca 2.99, 4 Pt 3.14, 4 W 3.16
Pt (0.0000, 0.5000, 0.5000) [1 per cell]  4 W 2.99, 8 Ca 3.14-3.16
W (0.5000, 0.0000, 0.5000) [1 per cell]  4 Pt 2.99, 8 Ca 3.14-3.16


*R*
Ca2PtW | PBE | optimized geometry

Calculated values
DOS(E_F) = 2.83 states/eV/f.u.

Cell lengths 7.1032, 7.1032, 7.1032 Å; angles 90.00, 90.00, 90.00 degrees
With the nearest neighbours (Å) after each atom.
Space group Fm-3m (No. 225)
One atom of each set of equivalent atoms:
Ca (0.2500, 0.2500, 0.2500) [8 per cell]  4 W 3.08, 4 Pt 3.08
Pt (0.0000, 0.0000, 0.0000) [4 per cell]  8 Ca 3.08
W (0.0000, 0.0000, 0.5000) [4 per cell]  8 Ca 3.08


*S*
Ca2PtW | PBE | optimized geometry

Calculated values
DOS(E_F) = 2.23 states/eV/f.u.

Cell lengths 3.2655, 3.2655, 9.1301 Å; angles 90.00, 90.00, 90.00 degrees
With the nearest neighbours (Å) after each atom.
Space group P4mm (No. 99)
One atom of each set of equivalent atoms:
Ca (0.0000, 0.0000, 0.0000) [1 per cell]  4 W 3.22, 4 Ca 3.27, 1 Pt 3.57
Ca (0.5000, 0.5000, 0.3770) [1 per cell]  4 Pt 3.13, 4 Ca 3.27, 1 W 3.45
Pt (0.0000, 0.0000, 0.6089) [1 per cell]  4 W 2.66
W (0.5000, 0.5000, 0.7545) [1 per cell]  4 Pt 2.66


*S* is preferred energetically. Next in line: 27.4 kJ/mol of atoms higher.